Entry 1:
Entry from Alexandria: a geometry-optimized Tb4Sb2P structure (PBE-GGA).

abc: 6.7151 6.5349 9.3437
angles: 90.00 109.22 90.00
Last column: nearest neighbours and their distance in Å.
Atoms (fractional coordinates):
Tb 0.0051 0.0025 0.2628  1 P 2.72
Tb 0.0051 0.4975 0.2628  1 P 2.72
Tb 0.4053 0.7500 0.0661  1 P 2.70
Tb 0.4438 0.7500 0.6422  1 P 2.70
Tb 0.5562 0.2500 0.3578  1 P 2.70
Tb 0.5947 0.2500 0.9339  1 P 2.70
Tb 0.9949 0.5025 0.7372  1 P 2.72
Tb 0.9949 0.9975 0.7372  1 P 2.72
Sb 0.1921 0.2500 0.0410  6 Tb 3.16-3.19
Sb 0.2192 0.2500 0.5583  1 P 2.76, 2 Tb 3.07
Sb 0.7808 0.7500 0.4417  1 P 2.76, 2 Tb 3.07
Sb 0.8079 0.7500 0.9590  6 Tb 3.16-3.19
P 0.3454 0.7500 0.3376  4 Tb 2.70-2.72, 1 Sb 2.76
P 0.6546 0.2500 0.6624  4 Tb 2.70-2.72, 1 Sb 2.76

Calculated values
DOS(E_F) ... 4.29 states/eV/f.u.
Formation energy (no corrections) ... -0.88 eV/atom
Space-group type ... P2_1/m
VASP energy ... -76.68 eV/cell



Entry 2:
Entry from Alexandria: a geometry-optimized Tb5SbP4 structure (PBE-GGA).

abc: 7.1168 7.1168 10.1092
angles: 118.32 118.32 33.29
Last column: nearest neighbours and their distance in Å.
Atoms (fractional coordinates):
Tb 0.0000 0.0000 0.0000  6 P 2.88-2.89
Tb 0.2061 0.2061 0.8140  5 P 2.81-2.89, 1 Sb 3.02
Tb 0.3912 0.3912 0.6107  4 P 2.81-2.95, 2 Sb 3.04
Tb 0.6088 0.6088 0.3893  4 P 2.81-2.95, 2 Sb 3.04
Tb 0.7939 0.7939 0.1860  5 P 2.81-2.89, 1 Sb 3.02
Sb 0.0000 0.0000 0.5000  6 Tb 3.02-3.04
P 0.2022 0.2022 0.2951  6 Tb 2.81-2.95
P 0.4023 0.4023 0.1006  6 Tb 2.81-2.89
P 0.5977 0.5977 0.8994  6 Tb 2.81-2.89
P 0.7978 0.7978 0.7049  6 Tb 2.81-2.95

Calculated values
DOS(E_F) ... 1.82 states/eV/f.u.
Formation energy (no corrections) ... -1.49 eV/atom
Space-group type ... C2/m
VASP energy ... -63.80 eV/cell



Entry 3:
Entry from Alexandria: a geometry-optimized Tb6Sb3TeP2 structure (PBE-GGA).

abc: 9.5450 9.5450 8.5952
angles: 102.98 102.98 25.75
Last column: nearest neighbours and their distance in Å.
Atoms (fractional coordinates):
Tb 0.0108 0.0108 0.2614  1 P 2.87, 3 Sb 2.99-3.11, 2 Te 3.07
Tb 0.3271 0.3271 0.4294  3 P 2.87-2.92, 3 Sb 3.13-3.14
Tb 0.3274 0.3274 0.8946  2 P 2.92, 3 Sb 3.02-3.14, 1 Te 3.13
Tb 0.6726 0.6726 0.1054  2 P 2.92, 3 Sb 3.02-3.14, 1 Te 3.13
Tb 0.6729 0.6729 0.5706  3 P 2.87-2.92, 3 Sb 3.13-3.14
Tb 0.9892 0.9892 0.7386  1 P 2.87, 3 Sb 2.99-3.11, 2 Te 3.07
Sb 0.1611 0.1611 0.8323  6 Tb 3.02-3.14
Sb 0.5000 0.5000 0.5000  6 Tb 2.99-3.13
Sb 0.8389 0.8389 0.1677  6 Tb 3.02-3.14
Te 0.5000 0.5000 0.0000  6 Tb 3.07-3.13
P 0.1690 0.1690 0.3356  6 Tb 2.87-2.92
P 0.8310 0.8310 0.6644  6 Tb 2.87-2.92

Calculated values
DOS(E_F) ... 2.32 states/eV/f.u.
Formation energy (no corrections) ... -1.33 eV/atom
Space-group type ... C2/m
VASP energy ... -70.08 eV/cell



Entry 4:
Entry from Alexandria: a geometry-optimized Tb6Sb2Te3P structure (PBE-GGA).

abc: 9.7492 9.7492 8.7326
angles: 103.49 103.49 25.44
Last column: nearest neighbours and their distance in Å.
Atoms (fractional coordinates):
Tb 0.0004 0.0004 0.2161  2 P 2.86, 1 Sb 3.08, 1 Te 3.18
Tb 0.9996 0.9996 0.7839  2 P 2.86, 1 Sb 3.08, 1 Te 3.18
Tb 0.3336 0.3336 0.4235  3 Sb 3.03-3.08, 3 Te 3.07-3.11
Tb 0.3502 0.3502 0.9213  1 P 2.77, 2 Sb 3.04
Tb 0.6498 0.6498 0.0787  1 P 2.77, 2 Sb 3.04
Tb 0.6664 0.6664 0.5765  3 Sb 3.03-3.08, 3 Te 3.07-3.11
Sb 0.1667 0.1667 0.3316  6 Tb 3.03-3.08
Sb 0.8333 0.8333 0.6684  6 Tb 3.03-3.08
Te 0.1707 0.1707 0.8363  6 Tb 3.11-3.32
Te 0.5000 0.5000 0.5000  6 Tb 3.07-3.28
Te 0.8293 0.8293 0.1637  6 Tb 3.11-3.32
P 0.5000 0.5000 0.0000  6 Tb 2.77-2.86

Calculated values
DOS(E_F) ... 4.78 states/eV/f.u.
Formation energy (no corrections) ... -1.37 eV/atom
Space-group type ... C2/m
VASP energy ... -67.25 eV/cell